VASP calculation (PBE) on a relaxed InTcSnO6 crystal.

Values from the calculation:
Formation energy from raw total energies, eV/atom: -1.402

Cell lengths 5.316, 5.316, 9.205 Å; angles 90.00, 90.00, 120.00 degrees
Element x y z (fractional)
1 In 0.000 0.000 0.000
2 In 0.000 0.000 0.500
3 Tc 0.333 0.667 0.250
4 Tc 0.667 0.333 0.750
5 Sn 0.333 0.667 0.750
6 Sn 0.667 0.333 0.250
7 O 0.016 0.359 0.132
8 O 0.016 0.656 0.368
9 O 0.344 0.359 0.368
10 O 0.344 0.984 0.132
11 O 0.359 0.016 0.632
12 O 0.359 0.344 0.868
13 O 0.641 0.656 0.132
14 O 0.641 0.984 0.368
15 O 0.656 0.016 0.868
16 O 0.656 0.641 0.632
17 O 0.984 0.344 0.632
18 O 0.984 0.641 0.868